1.
VASP calculation (PBE) on PmSn3 after structural relaxation.

a b c (Å): 11.4405 11.4405 4.4312
angles (deg): 90.00 90.00 157.43
Last column: nearest neighbours and their distance in Å.
Element x y z (fractional)
Pm 0.0776 0.9224 0.7500  10 Sn 3.24-3.54
Pm 0.9224 0.0776 0.2500  10 Sn 3.24-3.54
Sn 0.1857 0.8143 0.2500  5 Sn 2.91-3.15
Sn 0.3153 0.6847 0.2500  5 Sn 2.91-3.15
Sn 0.4553 0.5447 0.7500  2 Sn 2.99, 4 Pm 3.24
Sn 0.5447 0.4553 0.2500  2 Sn 2.99, 4 Pm 3.24
Sn 0.6847 0.3153 0.7500  5 Sn 2.91-3.15
Sn 0.8143 0.1857 0.7500  5 Sn 2.91-3.15

## Properties
E	-37.52	eV/cell
total magnetic moment	0.00	μB per formula unit

---

2.
VASP calculation (PBE) on LiTl2CuS4 after structural relaxation.

a b c (Å): 7.0567 7.0567 7.0567
angles (deg): 132.47 132.47 69.50
Last column: nearest neighbours and their distance in Å.
Element x y z (fractional)
Li 0.0000 0.0000 0.0000  4 S 2.45
Tl 0.2500 0.7500 0.5000  4 S 2.60
Tl 0.5000 0.5000 0.0000  4 S 2.59
Cu 0.7500 0.2500 0.5000  4 S 2.31
S 0.0872 0.6095 0.9562  1 Cu 2.31, 1 Li 2.45
S 0.3905 0.3467 0.4776  1 Cu 2.31, 1 Li 2.45
S 0.6533 0.1309 0.0438  1 Cu 2.31, 1 Li 2.45
S 0.8691 0.9128 0.5224  1 Cu 2.31, 1 Li 2.45

## Properties
E	-30.28	eV/cell

---

The evaluated V for the records listed, in turn: 222.6; 187.6 Å³ per cell.